VASP calculation (PBE-GGA) on a relaxed PuTeS4 crystal.

Cell lengths 14.5877, 3.9494, 6.8507 Å; angles 90.00, 117.32, 90.00 degrees
Last column: nearest neighbours and their distance in Å.
Space group C2/m (No. 12)
Inequivalent atoms, fractional coordinates:
Pu (0.0000, 0.0000, 0.0000)  6 S 2.68-2.70
Te (0.0000, 0.5000, 0.5000)  6 S 2.66-2.70
S (0.1077, 0.5000, 0.9355)  1 Te 2.66, 2 Pu 2.68
S (0.1111, 0.0000, 0.4425)  2 Te 2.70, 1 Pu 2.70

Volume   350.7 Å³/cell
Raw formation energy   -612.6 meV/atom
Fermi-level density of states   9.47 states/eV/f.u.
Crystal system   monoclinic